Record 1
A plane-wave DFT calculation with PBE was carried out for Sm2Cu12Ni3Sn after structural relaxation.

a = 6.457 Å, b = 6.457 Å, c = 6.457 Å
α = 83.27°, β = 83.27°, γ = 83.27°
Element x y z (fractional)
Sm1 0.243 0.243 0.243
Sm2 0.757 0.757 0.757
Cu1 0.077 0.077 0.650
Cu2 0.077 0.650 0.077
Cu3 0.211 0.705 0.705
Cu4 0.295 0.295 0.789
Cu5 0.295 0.789 0.295
Cu6 0.350 0.923 0.923
Cu7 0.650 0.077 0.077
Cu8 0.705 0.211 0.705
Cu9 0.705 0.705 0.211
Cu10 0.789 0.295 0.295
Cu11 0.923 0.350 0.923
Cu12 0.923 0.923 0.350
Ni1 0.000 0.500 0.500
Ni2 0.500 0.000 0.500
Ni3 0.500 0.500 0.000
Sn1 0.500 0.500 0.500

Summary:
* energy relative to the elements: 67 meV/atom
* V: 14.67 A^3/atom
* D(E_F): 0.335 states/eV/atom

***

Record 2
A plane-wave DFT calculation with PBE was carried out for Sm2TaCu3Ni12 after structural relaxation.

a = 9.213 Å, b = 9.213 Å, c = 9.213 Å
α = 38.33°, β = 38.33°, γ = 38.33°
Element x y z (fractional)
Sm1 0.149 0.149 0.149
Sm2 0.851 0.851 0.851
Ta1 0.500 0.500 0.500
Cu1 0.000 0.500 0.500
Cu2 0.500 0.000 0.500
Cu3 0.500 0.500 0.000
Ni1 0.080 0.080 0.694
Ni2 0.080 0.694 0.080
Ni3 0.132 0.577 0.577
Ni4 0.306 0.920 0.920
Ni5 0.423 0.423 0.868
Ni6 0.423 0.868 0.423
Ni7 0.577 0.132 0.577
Ni8 0.577 0.577 0.132
Ni9 0.694 0.080 0.080
Ni10 0.868 0.423 0.423
Ni11 0.920 0.306 0.920
Ni12 0.920 0.920 0.306

Summary:
* energy relative to the elements: 219 meV/atom
* V: 15.01 A^3/atom
* D(E_F): 1.101 states/eV/atom

***

Record 3
A plane-wave DFT calculation with PBE was carried out for SmThCuNi after structural relaxation.

a = 4.284 Å, b = 5.879 Å, c = 5.879 Å
α = 37.06°, β = 90.00°, γ = 90.00°
Element x y z (fractional)
Sm1 0.000 0.000 0.000
Th1 0.500 0.727 0.727
Cu1 0.500 0.432 0.432
Ni1 0.000 0.276 0.276

Summary:
* energy relative to the elements: -288 meV/atom
* V: 22.31 A^3/atom
* D(E_F): 0.766 states/eV/atom

***

Please write out number 3 again, unchanged.
A plane-wave DFT calculation with PBE was carried out for SmThCuNi after structural relaxation.

a = 4.284 Å, b = 5.879 Å, c = 5.879 Å
α = 37.06°, β = 90.00°, γ = 90.00°
Element x y z (fractional)
Sm1 0.000 0.000 0.000
Th1 0.500 0.727 0.727
Cu1 0.500 0.432 0.432
Ni1 0.000 0.276 0.276

Summary:
* energy relative to the elements: -288 meV/atom
* V: 22.31 A^3/atom
* D(E_F): 0.766 states/eV/atom